LaHf3O: PBEsol geometry, SCAN.

Lattice parameters (Å, degrees): 4.572 4.572 4.572 90.00 90.00 90.00
Fractional coordinates of all 5 atoms:
Hf  0.000  0.500  0.000
Hf  0.000  0.000  0.500
Hf  0.500  0.000  0.000
La  0.500  0.500  0.500
O  0.000  0.000  0.000

Values from the calculation:
**Raw total energy**: -48.263 eV/atom
**Space-group type**: Pm-3m
**Crystal system**: cubic

---

La2HfO5: PBEsol geometry, SCAN.

Lattice parameters (Å, degrees): 4.164 6.322 11.032 90.00 90.00 109.23
Fractional coordinates of all 16 atoms:
O  0.050  0.100  0.120
O  0.280  0.560  0.404
Hf  0.170  0.339  0.250
La  0.861  0.723  0.428
O  0.720  0.440  0.904
La  0.139  0.277  0.572
O  0.717  0.434  0.250
Hf  0.830  0.661  0.750
O  0.950  0.900  0.620
O  0.950  0.900  0.880
O  0.283  0.566  0.750
O  0.280  0.560  0.096
O  0.050  0.100  0.380
La  0.861  0.723  0.072
O  0.720  0.440  0.596
La  0.139  0.277  0.928

Values from the calculation:
**Raw total energy**: -26.257 eV/atom
**Space-group type**: Cmcm
**Crystal system**: orthorhombic

---

La2HfO5: PBEsol geometry, SCAN.

Lattice parameters (Å, degrees): 5.570 6.436 7.830 108.39 90.00 115.64
Fractional coordinates of all 16 atoms:
O  0.096  0.706  0.898
O  0.867  0.000  0.750
O  0.133  0.000  0.250
La  0.355  0.657  0.667
La  0.698  0.343  0.833
Hf  0.000  0.000  0.000
O  0.385  0.277  0.037
O  0.892  0.277  0.537
Hf  0.000  0.000  0.500
La  0.645  0.343  0.333
La  0.302  0.657  0.167
O  0.390  0.294  0.602
O  0.610  0.706  0.398
O  0.108  0.723  0.463
O  0.615  0.723  0.963
O  0.904  0.294  0.102

Values from the calculation:
**Raw total energy**: -26.319 eV/atom
**Space-group type**: C2/c
**Crystal system**: monoclinic

---

- Number 2 is which compound?
  La2HfO5